A geometry-optimized Ag5Pb structure. Source: the Alexandria database, functional PBE.

Density of states at the Fermi level (states/eV per atom): 0.29
DFT total energy (eV/cell): -69.13
V (Å³ per cell): 495
Density (Mg/m³): 10.023
Energy above the lowest structure with this stoichiometry (meV/atom): 49
Formation energy from the elements (kJ/mol of atoms): 11.0

```
data_Ag5Pb
_cell_length_a 7.9090
_cell_length_b 7.9090
_cell_length_c 7.9090
_cell_angle_alpha 90.00
_cell_angle_beta 90.00
_cell_angle_gamma 90.00
_space_group_name_H-M_alt 'F -4 3 m'
_space_group_IT_number 216
_space_group_name_Hall 'F -4 2 3'
loop_
_atom_site_label
_atom_site_type_symbol
_atom_site_fract_x
_atom_site_fract_y
_atom_site_fract_z
Ag1 Ag 0.0000 0.0000 0.0000
Ag2 Ag 0.1254 0.1254 0.6254
Pb1 Pb 0.2500 0.2500 0.2500
```